# 1
VASP calculation (PBE-GGA) on Tm3Ni2Pb after structural relaxation.

Density of states at the Fermi level (states/eV/f.u.): 3.81
E_form (kcal/mol of atoms): -10.13
SG: Pmc2_1 (26)

Cell: 4.3058 6.9699 8.9455 Å, 90.00 90.00 90.00°
Sites, in units of the cell vectors:
Pb: 0.0000 0.9601 0.9695
Pb: 0.0000 0.4601 0.0305
Tm: 0.5000 0.1819 0.1620
Tm: 0.5000 0.6819 0.8380
Tm: 0.0000 0.8264 0.5583
Tm: 0.5000 0.2130 0.7421
Tm: 0.0000 0.3264 0.4417
Tm: 0.5000 0.7130 0.2579
Ni: 0.0000 0.4771 0.7141
Ni: 0.0000 0.9771 0.2859
Ni: 0.5000 0.0428 0.4520
Ni: 0.5000 0.5428 0.5480

---

# 2
VASP calculation (PBE-GGA) on Tm2NiPb after structural relaxation.

Density of states at the Fermi level (states/eV/f.u.): 1.75
E_form (kcal/mol of atoms): -9.87
SG: P4/mmm (123)

Cell: 3.3999 3.3999 8.0366 Å, 90.00 90.00 90.00°
Sites, in units of the cell vectors:
Tm: 0.0000 0.0000 0.8013
Tm: 0.0000 0.0000 0.1987
Pb: 0.5000 0.5000 0.5000
Ni: 0.5000 0.5000 0.0000

---

# 3
VASP calculation (PBE-GGA) on TmNiPb after structural relaxation.

Density of states at the Fermi level (states/eV/f.u.): 1.68
E_form (kcal/mol of atoms): -9.19
SG: Pnma (62)

Cell: 4.5249 7.0967 7.8040 Å, 90.00 90.00 90.00°
Sites, in units of the cell vectors:
Tm: 0.7500 0.0115 0.3006
Tm: 0.2500 0.9885 0.6994
Tm: 0.7500 0.5115 0.1994
Tm: 0.2500 0.4885 0.8006
Pb: 0.7500 0.1874 0.9136
Pb: 0.2500 0.3126 0.4136
Pb: 0.7500 0.6874 0.5864
Pb: 0.2500 0.8126 0.0864
Ni: 0.7500 0.7837 0.9156
Ni: 0.2500 0.7163 0.4156
Ni: 0.7500 0.2837 0.5844
Ni: 0.2500 0.2163 0.0844

---

# 4
VASP calculation (PBE-GGA) on Tm6NiPb3 after structural relaxation.

Density of states at the Fermi level (states/eV/f.u.): 9.68
E_form (kcal/mol of atoms): -3.69
SG: Cmc2_1 (36)

Cell: 7.1658 9.3374 9.3374 Å, 103.48 90.00 90.00°
Sites, in units of the cell vectors:
Tm: 0.1591 0.0929 0.6055
Tm: 0.1858 0.3743 0.3020
Tm: 0.1904 0.7578 0.2422
Tm: 0.6858 0.3020 0.3743
Tm: 0.1591 0.3945 0.9071
Tm: 0.6591 0.6055 0.0929
Tm: 0.7477 0.9917 0.0083
Tm: 0.6904 0.2422 0.7578
Tm: 0.2477 0.0083 0.9917
Tm: 0.6858 0.6257 0.6980
Tm: 0.1858 0.6980 0.6257
Tm: 0.6591 0.9071 0.3945
Ni: 0.9868 0.1387 0.8613
Ni: 0.4868 0.8613 0.1387
Pb: 0.0015 0.0716 0.2954
Pb: 0.5015 0.2954 0.0716
Pb: 0.8678 0.6110 0.3890
Pb: 0.5015 0.9284 0.7046
Pb: 0.3678 0.3890 0.6110
Pb: 0.0015 0.7046 0.9284

---

# 5
VASP calculation (PBE-GGA) on TmNiPb after structural relaxation.

Density of states at the Fermi level (states/eV/f.u.): 1.03
E_form (kcal/mol of atoms): -7.60
SG: P-6m2 (187)

Cell: 3.5597 4.5510 4.5510 Å, 120.00 90.00 90.00°
Sites, in units of the cell vectors:
Tm: 0.6668 0.6667 0.3333
Ni: 0.1663 0.0000 0.0000
Pb: 0.1669 0.3333 0.6667

---

# 6
VASP calculation (PBE-GGA) on Tm5NiPb2 after structural relaxation.

Density of states at the Fermi level (states/eV/f.u.): 6.54
E_form (kcal/mol of atoms): -9.96
SG: Pnma (62)
E above lowest polymorph (meV/atom): 0

Cell: 7.8315 8.9060 12.1706 Å, 90.00 90.00 90.00°
Sites, in units of the cell vectors:
Tm: 0.8431 0.7500 0.2077
Tm: 0.6231 0.2500 0.6922
Tm: 0.8223 0.4642 0.9317
Tm: 0.9547 0.7500 0.4985
Tm: 0.8769 0.2500 0.1922
Tm: 0.3431 0.2500 0.2923
Tm: 0.1231 0.7500 0.8078
Tm: 0.3223 0.9642 0.5683
Tm: 0.1777 0.9642 0.0683
Tm: 0.6777 0.4642 0.4317
Tm: 0.6777 0.0358 0.4317
Tm: 0.6569 0.7500 0.7077
Tm: 0.5453 0.7500 0.9985
Tm: 0.1569 0.2500 0.7923
Tm: 0.4547 0.2500 0.0015
Tm: 0.8223 0.0358 0.9317
Tm: 0.0453 0.2500 0.5015
Tm: 0.1777 0.5358 0.0683
Tm: 0.3223 0.5358 0.5683
Tm: 0.3769 0.7500 0.3078
Pb: 0.4291 0.9929 0.8279
Pb: 0.5709 0.0071 0.1721
Pb: 0.9291 0.0071 0.6721
Pb: 0.5709 0.4929 0.1721
Pb: 0.0709 0.5071 0.3279
Pb: 0.9291 0.4929 0.6721
Pb: 0.4291 0.5071 0.8279
Pb: 0.0709 0.9929 0.3279
Ni: 0.9334 0.7500 0.9923
Ni: 0.5666 0.7500 0.4923
Ni: 0.4334 0.2500 0.5077
Ni: 0.0666 0.2500 0.0077

---

# 7
VASP calculation (PBE-GGA) on Tm5Ni2Pb2 after structural relaxation.

Density of states at the Fermi level (states/eV/f.u.): 6.30
E_form (kcal/mol of atoms): -9.87
SG: Cmce (64)

Cell: 8.3438 7.0064 8.7207 Å, 90.00 61.42 90.00°
Sites, in units of the cell vectors:
Tm: 0.2055 0.1482 0.2306
Tm: 0.5640 0.8518 0.2306
Tm: 0.7945 0.8518 0.7694
Tm: 0.4360 0.1482 0.7694
Tm: 0.2945 0.6482 0.7694
Tm: 0.5000 0.5000 0.0000
Tm: 0.7055 0.3518 0.2306
Tm: 0.0640 0.6482 0.2306
Tm: 0.9360 0.3518 0.7694
Tm: 0.0000 0.0000 0.0000
Ni: 0.6148 0.1321 0.0000
Ni: 0.1148 0.3679 0.0000
Ni: 0.8852 0.6321 0.0000
Ni: 0.3852 0.8679 0.0000
Pb: 0.7848 0.0000 0.4303
Pb: 0.7152 0.5000 0.5697
Pb: 0.2848 0.5000 0.4303
Pb: 0.2152 0.0000 0.5697

---

# 8
VASP calculation (PBE-GGA) on Tm8Ni2Pb after structural relaxation.

Density of states at the Fermi level (states/eV/f.u.): 14.13
E_form (kcal/mol of atoms): -4.81
SG: C2/m (12)

Cell: 5.2667 7.8406 7.8406 Å, 113.46 97.51 97.51°
Site moments in Bohr magnetons follow the coordinates.
Sites, in units of the cell vectors:
Tm: 0.9191 0.9242 0.6646  0.08
Tm: 0.5000 0.7499 0.2501  0.03
Tm: 0.2988 0.6052 0.6052  0.07
Tm: 0.9191 0.6646 0.9242  0.08
Tm: 0.5000 0.2501 0.7499  0.03
Tm: 0.0809 0.0758 0.3354  0.08
Tm: 0.7012 0.3948 0.3948  0.07
Tm: 0.0809 0.3354 0.0758  0.08
Ni: 0.0000 0.6936 0.3064  0.01
Ni: 0.0000 0.3064 0.6936  0.01
Pb: 0.5000 0.0000 0.0000  0.00

---

# 9
VASP calculation (PBE-GGA) on Tm3NiPb3 after structural relaxation.

Density of states at the Fermi level (states/eV/f.u.): 3.45
E_form (kcal/mol of atoms): -8.92
SG: C2/m (12)

Cell: 4.3279 6.0506 14.6905 Å, 84.84 81.53 69.04°
Sites, in units of the cell vectors:
Tm: 0.4016 0.2717 0.9251
Tm: 0.5984 0.7283 0.0749
Tm: 0.4784 0.6608 0.3825
Tm: 0.2771 0.2023 0.2435
Tm: 0.7229 0.7977 0.7565
Tm: 0.5216 0.3392 0.6175
Pb: 0.8447 0.7690 0.5417
Pb: 0.0010 0.7652 0.2328
Pb: 0.1363 0.8081 0.9194
Pb: 0.9990 0.2348 0.7672
Pb: 0.1553 0.2310 0.4583
Pb: 0.8637 0.1919 0.0806
Ni: 0.2141 0.9485 0.6233
Ni: 0.7859 0.0515 0.3767

---

# 10
VASP calculation (PBE-GGA) on Tm2NiPb after structural relaxation.

Density of states at the Fermi level (states/eV/f.u.): 2.66
E_form (kcal/mol of atoms): -5.85
SG: P2_1/m (11)

Cell: 5.3416 5.0484 8.0339 Å, 108.77 90.00 90.00°
Sites, in units of the cell vectors:
Ni: 0.7500 0.2701 0.4951
Ni: 0.2500 0.7299 0.5049
Tm: 0.7500 0.0872 0.1501
Tm: 0.2500 0.9128 0.8499
Tm: 0.7500 0.7920 0.5401
Tm: 0.2500 0.2080 0.4599
Pb: 0.7500 0.4332 0.8502
Pb: 0.2500 0.5668 0.1498

---

# 11
VASP calculation (PBE-GGA) on Tm4NiPb2 after structural relaxation.

Density of states at the Fermi level (states/eV/f.u.): 5.26
E_form (kcal/mol of atoms): -7.63
SG: I4/mmm (139)
E above lowest polymorph (meV/atom): 10

Cell: 4.9108 4.9108 8.8672 Å, 106.08 106.08 90.00°
Sites, in units of the cell vectors:
Tm: 0.0000 0.5000 0.0000
Tm: 0.1717 0.1717 0.3433
Tm: 0.8283 0.8283 0.6567
Tm: 0.5000 0.0000 0.0000
Pb: 0.3608 0.3608 0.7216
Pb: 0.6392 0.6392 0.2784
Ni: 0.0000 0.0000 0.0000

---

# 12
VASP calculation (PBE-GGA) on UNi4Pb after structural relaxation.

Density of states at the Fermi level (states/eV/f.u.): 10.54
E_form (kcal/mol of atoms): -1.81
SG: F-43m (216)

Cell: 5.0386 5.0386 5.0386 Å, 60.00 60.00 60.00°
Site moments in Bohr magnetons follow the coordinates.
Sites, in units of the cell vectors:
Pb: 0.2500 0.2500 0.2500  -0.01
Ni: 0.6250 0.1251 0.6250  0.13
Ni: 0.6250 0.6250 0.1251  0.13
Ni: 0.1251 0.6250 0.6250  0.13
Ni: 0.6250 0.6250 0.6250  0.13
U: 0.0000 0.0000 0.0000  -1.47